DFT (PBE-GGA) results for a relaxed structure of La2Nd2DyHg5.

It has space group P4/mbm (No. 127), with a = 11.180 Å, b = 11.180 Å, c = 4.601 Å, α = 90.00°, β = 90.00° and γ = 90.00°. The asymmetric unit holds La at (0.175, 0.325, 0.000), Nd at (0.129, 0.629, 0.000), Dy at (0.000, 0.000, 0.000), Hg at (0.000, 0.500, 0.500) and Hg at (0.083, 0.820, 0.500).

Its formation energy is -0.33 eV per atom. The value obtained for the total magnetization is 0.0 Bohr magnetons per cell.


DFT (PBE-GGA) results for a relaxed structure of LaNdDyHg.

It has space group F-43m (No. 216), with a = 7.881 Å, b = 7.881 Å, c = 7.881 Å, α = 90.00°, β = 90.00° and γ = 90.00°. The asymmetric unit holds La at (0.000, 0.000, 0.000), Nd at (0.000, 0.000, 0.500), Dy at (0.250, 0.250, 0.750) and Hg at (0.250, 0.250, 0.250).

Its formation energy is -0.09 eV per atom. The value obtained for the energy above the most stable polymorph in this dataset is 145 meV/atom. The value obtained for the total magnetization is 0.0 Bohr magnetons per cell.


DFT (PBE-GGA) results for a relaxed structure of LaDyNiHg.

It has space group F-43m (No. 216), with a = 7.340 Å, b = 7.340 Å, c = 7.340 Å, α = 90.00°, β = 90.00° and γ = 90.00°. The asymmetric unit holds La at (0.000, 0.000, 0.000), Dy at (0.000, 0.000, 0.500), Ni at (0.250, 0.250, 0.250) and Hg at (0.250, 0.250, 0.750).

Its formation energy is -0.30 eV per atom. The value obtained for the total magnetization is 0.0 Bohr magnetons per cell.


DFT (PBE-GGA) results for a relaxed structure of LaDyHgPb.

It has space group F-43m (No. 216), with a = 7.738 Å, b = 7.738 Å, c = 7.738 Å, α = 90.00°, β = 90.00° and γ = 90.00°. The asymmetric unit holds La at (0.000, 0.000, 0.000), Dy at (0.000, 0.000, 0.500), Hg at (0.250, 0.250, 0.250) and Pb at (0.250, 0.250, 0.750).

Its formation energy is -0.50 eV per atom. The value obtained for the total magnetization is 0.0 Bohr magnetons per cell.


Copy entry 3 word for word.
DFT (PBE-GGA) results for a relaxed structure of LaDyNiHg.

It has space group F-43m (No. 216), with a = 7.340 Å, b = 7.340 Å, c = 7.340 Å, α = 90.00°, β = 90.00° and γ = 90.00°. The asymmetric unit holds La at (0.000, 0.000, 0.000), Dy at (0.000, 0.000, 0.500), Ni at (0.250, 0.250, 0.250) and Hg at (0.250, 0.250, 0.750).

Its formation energy is -0.30 eV per atom. The value obtained for the total magnetization is 0.0 Bohr magnetons per cell.